#i
TlGaAgN2 after structural relaxation. Source: Alexandria via LeMat-Bulk, functional GGA-PBE.

The space group is P4/mmm (No. 123) and the conventional cell measures 4.436, 4.436 and 5.622 Å, with angles of 90.00, 90.00 and 90.00 degrees. The distinct sites, in fractional coordinates, are Tl at (0.000, 0.000, 0.000), Ga at (0.500, 0.500, 0.500), Ag at (0.000, 0.000, 0.500) and N at (0.000, 0.500, 0.000).

The mass density is 6.16 g/cm3.

#ii
TlGaAgN2 after structural relaxation. Source: Alexandria via LeMat-Bulk, functional GGA-PBE.

The space group is P4/mmm (No. 123) and the conventional cell measures 4.209, 4.209 and 5.816 Å, with angles of 90.00, 90.00 and 90.00 degrees. The distinct sites, in fractional coordinates, are Tl at (0.000, 0.000, 0.000), Ga at (0.500, 0.500, 0.000), Ag at (0.000, 0.000, 0.500) and N at (0.000, 0.500, 0.500).

The mass density is 6.61 g/cm3.

#ii wins, 0.144 eV/atom ahead of the next structure.

#i
NaGa2Ag5 after structural relaxation. Source: Alexandria via LeMat-Bulk, functional GGA-PBE.

The space group is Immm (No. 71) and the conventional cell measures 3.730, 7.999 and 10.587 Å, with angles of 90.00, 90.00 and 90.00 degrees. The distinct sites, in fractional coordinates, are Na at (0.000, 0.000, 0.000), Ga at (0.000, 0.500, 0.260), Ag at (0.000, 0.201, 0.358) and Ag at (0.000, 0.500, 0.000).

The mass density is 7.38 g/cm3.

#ii
NaGa2Ag5 after structural relaxation. Source: Alexandria via LeMat-Bulk, functional GGA-PBE.

The space group is Immm (No. 71) and the conventional cell measures 2.949, 8.972 and 11.137 Å, with angles of 90.00, 90.00 and 90.00 degrees. The distinct sites, in fractional coordinates, are Na at (0.000, 0.000, 0.000), Ga at (0.000, 0.500, 0.250), Ag at (0.000, 0.233, 0.367) and Ag at (0.000, 0.500, 0.000).

The mass density is 7.91 g/cm3.

#ii wins, 0.029 eV/atom ahead of the next structure.